Record 1
TbY2ErS6: relaxed, GGA-PBE.

a = 7.348 Å, b = 7.348 Å, c = 7.348 Å
α = 56.08°, β = 56.08°, γ = 56.08°
Positions (direct):
Tb  0.000  0.000  0.000
Y  0.298  0.298  0.298
Y  0.799  0.799  0.799
Er  0.499  0.499  0.499
S  0.100  0.400  0.698
S  0.204  0.895  0.599
S  0.400  0.698  0.100
S  0.599  0.204  0.895
S  0.698  0.100  0.400
S  0.895  0.599  0.204

Properties
- M_tot: 0.0 μB per cell
- Final energy: -6.7519 eV/atom
- Space group: R3 (146)
- ΔE_f (raw): -2063 meV/atom

=====

Record 2
TbY4ErS8: relaxed, GGA-PBE.

a = 8.046 Å, b = 8.046 Å, c = 8.046 Å
α = 60.10°, β = 60.10°, γ = 60.10°
Positions (direct):
Tb  0.000  0.000  0.000
Y  0.125  0.624  0.624
Y  0.249  0.249  0.249
Y  0.624  0.125  0.624
Y  0.624  0.624  0.125
Er  0.624  0.624  0.624
S  0.382  0.382  0.382
S  0.384  0.384  0.851
S  0.384  0.851  0.384
S  0.399  0.865  0.865
S  0.851  0.384  0.384
S  0.865  0.399  0.865
S  0.865  0.865  0.399
S  0.867  0.867  0.867

Properties
- M_tot: 0.0 μB per cell
- Final energy: -6.8014 eV/atom
- Space group: R3m (160)
- ΔE_f (raw): -1939 meV/atom

=====

Record 3
TbYEr4S8: relaxed, GGA-PBE.

a = 8.012 Å, b = 8.012 Å, c = 8.012 Å
α = 59.88°, β = 59.88°, γ = 59.88°
Positions (direct):
Tb  0.000  0.000  0.000
Y  0.625  0.625  0.625
Er  0.126  0.625  0.625
Er  0.251  0.251  0.251
Er  0.625  0.126  0.625
Er  0.625  0.625  0.126
S  0.381  0.381  0.855
S  0.381  0.855  0.381
S  0.383  0.383  0.383
S  0.401  0.869  0.869
S  0.855  0.381  0.381
S  0.866  0.866  0.866
S  0.869  0.401  0.869
S  0.869  0.869  0.401

Properties
- M_tot: 0.0 μB per cell
- Final energy: -6.3840 eV/atom
- Space group: R3m (160)
- ΔE_f (raw): -1929 meV/atom

=====

Record 4
Tb3YEr3S8: relaxed, GGA-PBE.

a = 7.787 Å, b = 7.787 Å, c = 7.787 Å
α = 59.86°, β = 59.86°, γ = 59.86°
Positions (direct):
Tb  0.000  0.500  0.500
Tb  0.500  0.000  0.500
Tb  0.500  0.500  0.000
Y  0.500  0.500  0.500
Er  0.000  0.000  0.500
Er  0.000  0.500  0.000
Er  0.500  0.000  0.000
S  0.245  0.752  0.752
S  0.248  0.248  0.248
S  0.248  0.248  0.755
S  0.248  0.755  0.248
S  0.752  0.245  0.752
S  0.752  0.752  0.245
S  0.752  0.752  0.752
S  0.755  0.248  0.248

Properties
- M_tot: 0.0 μB per cell
- Final energy: -6.5174 eV/atom
- Space group: R-3m (166)
- ΔE_f (raw): -2046 meV/atom